Entry from Alexandria via LeMat-Bulk: PuPbCl2 after structural relaxation (GGA-PBE).

a b c (Å): 3.6230 3.6230 10.5581
angles (deg): 80.12 80.12 60.00
Closest atoms and distances in Å follow each position.
Fractional positions:
Pb: 0.0000 0.0000 0.0000  2 Cl 3.27, 6 Pb 3.62
Cl: 0.1054 0.1054 0.6838  3 Pu 2.83
Cl: 0.8946 0.8946 0.3162  3 Pu 2.83
Pu: 0.5000 0.5000 0.5000  6 Cl 2.83

The density of states at the Fermi level is 1.492 states/eV per atom. The energy relative to the elements, uncorrected is -1.125 eV per atom.


Entry from Alexandria via LeMat-Bulk: Pu2PbCl11 after structural relaxation (GGA-PBE).

a b c (Å): 11.7579 10.6766 10.6766
angles (deg): 66.97 56.59 56.59
Closest atoms and distances in Å follow each position.
Fractional positions:
Pu: 0.6640 0.6636 0.3364  6 Cl 2.43-2.73
Pu: 0.3360 0.3364 0.6636  6 Cl 2.43-2.73
Pu: 0.8360 0.1636 0.8364  6 Cl 2.43-2.73
Pu: 0.1640 0.8364 0.1636  6 Cl 2.43-2.73
Pb: 0.7500 0.7500 0.7500  8 Cl 3.09-3.11
Pb: 0.2500 0.2500 0.2500  8 Cl 3.09-3.11
Cl: 0.6448 0.6942 0.5758  1 Pu 2.57
Cl: 0.3552 0.3058 0.4242  1 Pu 2.57
Cl: 0.0851 0.5758 0.6942  1 Pu 2.57
Cl: 0.8552 0.9242 0.8058  1 Pu 2.57
Cl: 0.9149 0.4242 0.3058  1 Pu 2.57
Cl: 0.1448 0.0758 0.1942  1 Pu 2.57
Cl: 0.4149 0.8058 0.9242  1 Pu 2.57
Cl: 0.5851 0.1942 0.0758  1 Pu 2.57
Cl: 0.5000 0.5000 0.5000  2 Pu 2.73
Cl: 0.0000 0.0000 0.0000  2 Pu 2.73
Cl: 0.8105 0.8097 0.1903  1 Pu 2.43
Cl: 0.1895 0.1903 0.8097  1 Pu 2.43
Cl: 0.6895 0.3097 0.6903  1 Pu 2.43
Cl: 0.3105 0.6903 0.3097  1 Pu 2.43
Cl: 0.4246 0.9141 0.3568  1 Pu 2.57
Cl: 0.5754 0.0859 0.6432  1 Pu 2.57
Cl: 0.3045 0.3568 0.9141  1 Pu 2.57
Cl: 0.0754 0.1432 0.5859  1 Pu 2.57
Cl: 0.6955 0.6432 0.0859  1 Pu 2.57
Cl: 0.9246 0.8568 0.4141  1 Pu 2.57
Cl: 0.1955 0.5859 0.1432  1 Pu 2.57
Cl: 0.8045 0.4141 0.8568  1 Pu 2.57

The density of states at the Fermi level is 1.561 states/eV per atom. The energy relative to the elements, uncorrected is -1.362 eV per atom.


Entry from Alexandria via LeMat-Bulk: Pu2PbCl6 after structural relaxation (GGA-PBE).

a b c (Å): 4.2327 7.3969 10.4330
angles (deg): 103.89 90.00 106.63
Closest atoms and distances in Å follow each position.
Fractional positions:
Pu: 0.6642 0.3285 0.8414  6 Cl 2.82-2.84
Pu: 0.3358 0.6716 0.1585  6 Cl 2.82-2.84
Pb: 0.0000 0.0000 0.5000  6 Cl 2.94-3.01
Cl: 0.3023 0.6045 0.8802  3 Pu 2.82-2.84
Cl: 0.6977 0.3955 0.1198  3 Pu 2.82-2.84
Cl: 0.9733 0.9467 0.2047  2 Pu 2.84, 1 Pb 3.01
Cl: 0.6484 0.2969 0.5654  1 Pu 2.83, 2 Pb 2.94
Cl: 0.0267 0.0533 0.7953  2 Pu 2.84, 1 Pb 3.01
Cl: 0.3516 0.7031 0.4346  1 Pu 2.83, 2 Pb 2.94

The density of states at the Fermi level is 2.448 states/eV per atom. The energy relative to the elements, uncorrected is -1.533 eV per atom.


Entry from Alexandria via LeMat-Bulk: PuPbCl5 after structural relaxation (GGA-PBE).

a b c (Å): 9.4750 9.4750 13.1696
angles (deg): 51.67 51.67 86.43
Closest atoms and distances in Å follow each position.
Fractional positions:
Pu: 0.0000 0.0000 0.0000  6 Cl 2.72-2.75
Pu: 0.5000 0.5000 0.5000  6 Cl 2.72-2.75
Pb: 0.8209 0.6791 0.7500  4 Cl 2.66-2.92
Pb: 0.1791 0.3209 0.2500  4 Cl 2.66-2.92
Cl: 0.7177 0.8736 0.3378  2 Pu 2.72
Cl: 0.8865 0.0230 0.6638  2 Pb 2.66-2.92
Cl: 0.3736 0.2177 0.8378  2 Pu 2.72
Cl: 0.0928 0.4072 0.7500  2 Pu 2.75
Cl: 0.4770 0.6135 0.8362  2 Pb 2.66-2.92
Cl: 0.5230 0.3865 0.1638  2 Pb 2.66-2.92
Cl: 0.9072 0.5928 0.2500  2 Pu 2.75
Cl: 0.6264 0.7823 0.1622  2 Pu 2.72
Cl: 0.1135 0.9770 0.3362  2 Pb 2.66-2.92
Cl: 0.2823 0.1264 0.6622  2 Pu 2.72

The density of states at the Fermi level is 1.310 states/eV per atom. The energy relative to the elements, uncorrected is -1.513 eV per atom.


Entry from Alexandria via LeMat-Bulk: PuPb2Cl6 after structural relaxation (GGA-PBE).

a b c (Å): 6.8458 6.8458 13.0446
angles (deg): 90.00 90.00 90.00
Closest atoms and distances in Å follow each position.
Fractional positions:
Pu: 0.0000 0.0000 0.0000  6 Cl 2.83
Pu: 0.5000 0.5000 0.5000  6 Cl 2.83
Pb: 0.0000 0.0000 0.3336  6 Cl 2.94-2.96
Pb: 0.5000 0.5000 0.8336  6 Cl 2.94-2.96
Pb: 0.5000 0.5000 0.1664  6 Cl 2.94-2.96
Pb: 0.0000 0.0000 0.6664  6 Cl 2.94-2.96
Cl: 0.3041 0.3041 0.3385  1 Pu 2.83, 2 Pb 2.94
Cl: 0.6959 0.6959 0.3385  1 Pu 2.83, 2 Pb 2.94
Cl: 0.1959 0.8041 0.8385  1 Pu 2.83, 2 Pb 2.94
Cl: 0.8041 0.1959 0.8385  1 Pu 2.83, 2 Pb 2.94
Cl: 0.1959 0.8041 0.1615  1 Pu 2.83, 2 Pb 2.94
Cl: 0.8041 0.1959 0.1615  1 Pu 2.83, 2 Pb 2.94
Cl: 0.3041 0.3041 0.6615  1 Pu 2.83, 2 Pb 2.94
Cl: 0.6959 0.6959 0.6615  1 Pu 2.83, 2 Pb 2.94
Cl: 0.2922 0.2922 0.0000  1 Pu 2.83, 2 Pb 2.96
Cl: 0.7078 0.7078 0.0000  1 Pu 2.83, 2 Pb 2.96
Cl: 0.2078 0.7922 0.5000  1 Pu 2.83, 2 Pb 2.96
Cl: 0.7922 0.2078 0.5000  1 Pu 2.83, 2 Pb 2.96

The density of states at the Fermi level is 2.037 states/eV per atom. The energy relative to the lowest polymorph listed for this composition is 0.00 eV per formula unit. The energy relative to the elements, uncorrected is -1.344 eV per atom.


Entry from Alexandria via LeMat-Bulk: Rb2PuPbCl8 after structural relaxation (GGA-PBE).

a b c (Å): 7.3425 6.9894 8.9071
angles (deg): 89.98 90.01 92.23
Closest atoms and distances in Å follow each position.
Fractional positions:
Rb: 0.5000 0.4999 0.7499  6 Cl 3.16-3.47
Rb: 0.5000 0.5001 0.2501  6 Cl 3.16-3.47
Pu: 0.0000 0.0000 0.0000  6 Cl 2.58-2.63
Pb: 0.0000 0.0000 0.5000  6 Cl 2.78-3.07
Cl: 0.1287 0.7906 0.2188  1 Pu 2.63
Cl: 0.7015 0.7932 0.9999  1 Pu 2.58
Cl: 0.8711 0.2093 0.2188  1 Pu 2.63
Cl: 0.8713 0.2094 0.7812  1 Pu 2.63
Cl: 0.2985 0.2068 0.0001  1 Pu 2.58
Cl: 0.1289 0.7907 0.7812  1 Pu 2.63
Cl: 0.6906 0.7588 0.5000  1 Pb 2.78
Cl: 0.3094 0.2412 0.5000  1 Pb 2.78

The density of states at the Fermi level is 0.271 states/eV per atom. The energy relative to the elements, uncorrected is -1.638 eV per atom.


Entry from Alexandria via LeMat-Bulk: PuTl2PbCl8 after structural relaxation (GGA-PBE).

a b c (Å): 7.2011 6.9330 8.7120
angles (deg): 90.00 90.00 92.17
Closest atoms and distances in Å follow each position.
Fractional positions:
Pu: 0.0000 0.0000 0.0000  6 Cl 2.56-2.65
Tl: 0.5001 0.4999 0.7468  4 Cl 3.01-3.30
Tl: 0.4999 0.5001 0.2532  4 Cl 3.01-3.30
Pb: 0.0000 0.0000 0.5000  6 Cl 2.84-3.00
Cl: 0.1297 0.7850 0.2240  1 Pu 2.65
Cl: 0.6955 0.7981 0.0000  1 Pu 2.56
Cl: 0.8703 0.2150 0.2239  1 Pu 2.65
Cl: 0.8703 0.2150 0.7760  1 Pu 2.65
Cl: 0.3045 0.2019 0.0000  1 Pu 2.56
Cl: 0.1297 0.7850 0.7761  1 Pu 2.65
Cl: 0.6801 0.7471 0.5000  1 Pb 2.84, 2 Tl 3.01
Cl: 0.3199 0.2529 0.5000  1 Pb 2.84, 2 Tl 3.01

The density of states at the Fermi level is 0.167 states/eV per atom. The energy relative to the elements, uncorrected is -1.329 eV per atom.


Entry from Alexandria via LeMat-Bulk: PuTlPb2Cl8 after structural relaxation (GGA-PBE).

a b c (Å): 6.8554 6.7039 8.9622
angles (deg): 90.00 90.00 89.26
Closest atoms and distances in Å follow each position.
Fractional positions:
Pu: 0.0000 0.0000 0.0000  6 Cl 2.72-2.77
Tl: 0.0000 0.0000 0.5000  6 Cl 3.15-3.19
Pb: 0.5000 0.5000 0.7480  6 Cl 2.84-3.09
Pb: 0.5000 0.5000 0.2520  6 Cl 2.84-3.09
Cl: 0.1582 0.7625 0.2156  1 Pu 2.72, 1 Pb 2.93
Cl: 0.6822 0.7500 0.0000  1 Pu 2.77, 2 Pb 3.09
Cl: 0.8417 0.2374 0.2156  1 Pu 2.72, 1 Pb 2.93
Cl: 0.8418 0.2375 0.7844  1 Pu 2.72, 1 Pb 2.93
Cl: 0.3177 0.2500 0.0000  1 Pu 2.77, 2 Pb 3.09
Cl: 0.1583 0.7626 0.7844  1 Pu 2.72, 1 Pb 2.93
Cl: 0.6326 0.7232 0.5000  2 Pb 2.84, 1 Tl 3.15
Cl: 0.3674 0.2768 0.5000  2 Pb 2.84, 1 Tl 3.15

The density of states at the Fermi level is 0.780 states/eV per atom. The energy relative to the elements, uncorrected is -1.374 eV per atom.


Entry from Alexandria via LeMat-Bulk: RbPbCl3 after structural relaxation (GGA-PBE).

a b c (Å): 8.4562 8.4562 8.4562
angles (deg): 54.79 54.79 54.79
Closest atoms and distances in Å follow each position.
Fractional positions:
Pb: 0.3411 0.3411 0.3411  6 Cl 2.89-2.99
Pb: 0.6589 0.6589 0.6589  6 Cl 2.89-2.99
Rb: 0.1382 0.1382 0.1382  6 Cl 3.27-3.40
Rb: 0.8618 0.8618 0.8618  6 Cl 3.27-3.40
Cl: 0.4735 0.0483 0.7071  2 Pb 2.89-2.99
Cl: 0.0483 0.7071 0.4735  2 Pb 2.89-2.99
Cl: 0.2929 0.5265 0.9517  2 Pb 2.89-2.99
Cl: 0.9517 0.2929 0.5265  2 Pb 2.89-2.99
Cl: 0.5265 0.9517 0.2929  2 Pb 2.89-2.99
Cl: 0.7071 0.4735 0.0483  2 Pb 2.89-2.99

The density of states at the Fermi level is 0.000 states/eV per atom. The energy relative to the elements, uncorrected is -1.500 eV per atom.